Record 1
SrSiIr2 after structural relaxation. Source: Alexandria via LeMat-Bulk, functional GGA-PBE.

Summary:
formation energy without anion corrections	0.005	eV/atom
raw total energy	-6.202	eV/atom
V	71.79	Å³/f.u.

Unit cell a=3.0087 b=3.0087 c=7.9311 alpha=90.00 beta=90.00 gamma=90.00
With the nearest neighbours (Å) after each atom.
Space group P4mm (No. 99)
Unique sites:
Sr: 0.0000 0.0000 0.0000 x1  4 Sr 3.01, 4 Ir 3.15, 4 Si 3.24
Si: 0.5000 0.5000 0.6917 x1  4 Ir 2.51
Ir: 0.0000 0.0000 0.5241 x1  4 Si 2.51, 4 Ir 2.81
Ir: 0.5000 0.5000 0.2932 x1  8 Ir 2.81-3.01

Record 2
SrSiIr2 after structural relaxation. Source: Alexandria via LeMat-Bulk, functional GGA-PBE.

Summary:
formation energy without anion corrections	-0.004	eV/atom
raw total energy	-6.211	eV/atom
V	76.22	Å³/f.u.

Unit cell a=3.0749 b=5.4605 c=9.0793 alpha=90.00 beta=90.00 gamma=90.00
With the nearest neighbours (Å) after each atom.
Space group Immm (No. 71)
Unique sites:
Sr: 0.0000 0.0000 0.0000 x2  2 Sr 3.07, 4 Si 3.13, 8 Ir 3.18-3.25
Si: 0.0000 0.0000 0.5000 x2  4 Ir 2.34
Ir: 0.0000 0.5000 0.1937 x4  2 Si 2.34

Record 3
SrSiIr2 after structural relaxation. Source: Alexandria via LeMat-Bulk, functional GGA-PBE.

Summary:
formation energy without anion corrections	0.275	eV/atom
raw total energy	-5.932	eV/atom
V	69.35	Å³/f.u.

Unit cell a=6.2524 b=7.1352 c=3.1090 alpha=90.00 beta=90.00 gamma=90.00
With the nearest neighbours (Å) after each atom.
Space group Cmmm (No. 65)
Unique sites:
Sr: 0.0000 0.0000 0.0000 x2  8 Ir 2.84, 2 Sr 3.11, 2 Si 3.13
Si: 0.0000 0.5000 0.0000 x2  8 Ir 2.84, 2 Si 3.11, 2 Sr 3.13
Ir: 0.2500 0.2500 0.5000 x4  4 Sr 2.84, 4 Si 2.84, 4 Ir 3.11-3.13

Record 4
SrSi3Ir3 after structural relaxation. Source: Alexandria via LeMat-Bulk, functional GGA-PBE.

Summary:
formation energy without anion corrections	-0.529	eV/atom
raw total energy	-6.891	eV/atom
V	144.61	Å³/f.u.
distance to the lowest polymorph of the same formula	0	meV/atom

Unit cell a=6.6132 b=6.6132 c=6.6132 alpha=90.00 beta=90.00 gamma=90.00
With the nearest neighbours (Å) after each atom.
Space group Pm-3n (No. 223)
Unique sites:
Sr: 0.0000 0.0000 0.0000 x2  12 Ir 3.70, 12 Si 3.70
Si: 0.0000 0.2500 0.5000 x6  4 Ir 2.34
Ir: 0.0000 0.5000 0.2500 x6  4 Si 2.34

Record 5
SrSiIr2 after structural relaxation. Source: Alexandria via LeMat-Bulk, functional GGA-PBE.

Summary:
formation energy without anion corrections	0.336	eV/atom
raw total energy	-5.871	eV/atom
V	70.86	Å³/f.u.

Unit cell a=3.9854 b=3.9854 c=8.9229 alpha=90.00 beta=90.00 gamma=90.00
With the nearest neighbours (Å) after each atom.
Space group I-4m2 (No. 119)
Unique sites:
Sr: 0.0000 0.0000 0.0000 x2  8 Ir 2.82-2.99, 4 Si 2.99
Si: 0.0000 0.5000 0.2500 x2  8 Ir 2.82-2.99, 4 Sr 2.99
Ir: 0.0000 0.0000 0.5000 x2  4 Sr 2.82, 4 Ir 2.99, 4 Si 2.99
Ir: 0.0000 0.5000 0.7500 x2  4 Si 2.82, 4 Ir 2.99, 4 Sr 2.99

Record 6
SrSiIr2 after structural relaxation. Source: Alexandria via LeMat-Bulk, functional GGA-PBE.

Summary:
formation energy without anion corrections	-0.031	eV/atom
raw total energy	-6.238	eV/atom
V	74.59	Å³/f.u.

Unit cell a=2.8711 b=3.8996 c=6.6620 alpha=90.00 beta=90.00 gamma=90.00
With the nearest neighbours (Å) after each atom.
Space group Pmm2 (No. 25)
Unique sites:
Sr: 0.0000 0.0000 0.0000 x1  2 Sr 2.87, 5 Ir 3.17-3.19
Si: 0.5000 0.5000 0.6602 x1  5 Ir 2.35-2.59
Ir: 0.0000 0.0000 0.5207 x1  4 Si 2.59, 6 Ir 2.81-2.87
Ir: 0.5000 0.5000 0.3075 x1  1 Si 2.35

Record 7
SrSiIr2 after structural relaxation. Source: Alexandria via LeMat-Bulk, functional GGA-PBE.

Summary:
formation energy without anion corrections	-0.211	eV/atom
raw total energy	-6.418	eV/atom
V	81.12	Å³/f.u.

Unit cell a=10.0347 b=3.0108 c=5.8557 alpha=90.00 beta=113.50 gamma=90.00
With the nearest neighbours (Å) after each atom.
Space group Cm (No. 8)
Unique sites:
Sr: 0.0000 0.0000 0.0000 x2  2 Sr 3.01, 5 Ir 3.15-3.23, 3 Si 3.21-3.25
Si: 0.1949 0.0000 0.6778 x2  4 Ir 2.40-2.44
Ir: 0.2681 0.5000 0.4299 x2  2 Si 2.40, 2 Ir 2.63
Ir: 0.4909 0.0000 0.4667 x2  2 Si 2.44, 2 Ir 2.63

Record 8
SrSiIr2 after structural relaxation. Source: Alexandria via LeMat-Bulk, functional GGA-PBE.

Summary:
formation energy without anion corrections	-0.390	eV/atom
raw total energy	-6.597	eV/atom
V	88.40	Å³/f.u.

Unit cell a=4.3218 b=4.3218 c=16.3940 alpha=90.00 beta=90.00 gamma=120.00
With the nearest neighbours (Å) after each atom.
Space group R-3m (No. 166, hexagonal axes)
Unique sites:
Sr: 0.0000 0.0000 0.0000 x3  2 Ir 3.07
Si: 0.0000 0.0000 0.5000 x3  6 Ir 2.52
Ir: 0.0000 0.0000 0.1875 x6  3 Si 2.52, 3 Ir 2.59

Record 9
SrSiIr2 after structural relaxation. Source: Alexandria via LeMat-Bulk, functional GGA-PBE.

Summary:
formation energy without anion corrections	0.222	eV/atom
raw total energy	-5.985	eV/atom
V	69.93	Å³/f.u.

Unit cell a=4.3476 b=4.3476 c=3.6995 alpha=90.00 beta=90.00 gamma=90.00
With the nearest neighbours (Å) after each atom.
Space group P4/mmm (No. 123)
Unique sites:
Sr: 0.0000 0.0000 0.0000 x1  8 Ir 2.85, 4 Si 3.07
Si: 0.5000 0.5000 0.0000 x1  8 Ir 2.85, 4 Sr 3.07
Ir: 0.0000 0.5000 0.5000 x2  4 Sr 2.85, 4 Si 2.85, 4 Ir 3.07

Record 10
SrSi3Ir4 after structural relaxation. Source: Alexandria via LeMat-Bulk, functional GGA-PBE.

Summary:
formation energy without anion corrections	-0.723	eV/atom
raw total energy	-7.397	eV/atom
V	134.28	Å³/f.u.

Unit cell a=4.0771 b=4.0771 c=8.0782 alpha=90.00 beta=90.00 gamma=90.00
With the nearest neighbours (Å) after each atom.
Space group P4/mmm (No. 123)
Unique sites:
Sr: 0.0000 0.0000 0.0000 x1  8 Si 3.19, 8 Ir 3.30
Si: 0.0000 0.0000 0.5000 x1  8 Ir 2.50
Si: 0.5000 0.5000 0.1694 x2  4 Ir 2.38
Ir: 0.0000 0.5000 0.3219 x4  4 Si 2.38-2.50

Record 11
Sr3Si2Ir after structural relaxation. Source: Alexandria via LeMat-Bulk, functional GGA-PBE.

Summary:
formation energy without anion corrections	-0.381	eV/atom
raw total energy	-4.506	eV/atom
V	177.58	Å³/f.u.

Unit cell a=7.3732 b=9.7980 c=9.9862 alpha=90.00 beta=100.07 gamma=90.00
With the nearest neighbours (Å) after each atom.
Space group P2_1/c (No. 14)
Unique sites:
Sr: 0.1176 0.0475 0.3477 x4  4 Si 3.20-3.27, 3 Ir 3.22-3.53
Sr: 0.2377 0.0920 0.9525 x4  2 Ir 3.08-3.09, 2 Si 3.16-3.35
Sr: 0.3635 0.7004 0.1915 x4  5 Si 3.17-3.33, 1 Ir 3.48
Si: 0.0772 0.7276 0.4139 x4  1 Ir 2.35
Si: 0.4763 0.0899 0.5759 x4  1 Ir 2.34, 1 Si 2.39
Ir: 0.2133 0.1712 0.6507 x4  2 Si 2.34-2.35

Record 12
SrSiIr2 after structural relaxation. Source: Alexandria via LeMat-Bulk, functional GGA-PBE.

Summary:
formation energy without anion corrections	0.491	eV/atom
raw total energy	-5.716	eV/atom
V	72.82	Å³/f.u.

Unit cell a=6.6288 b=6.6288 c=6.6288 alpha=90.00 beta=90.00 gamma=90.00
With the nearest neighbours (Å) after each atom.
Space group F-43m (No. 216)
Unique sites:
Sr: 0.0000 0.0000 0.0000 x4  4 Si 2.87, 4 Ir 2.87
Si: 0.2500 0.2500 0.2500 x4  4 Ir 2.87, 4 Sr 2.87
Ir: 0.0000 0.0000 0.5000 x4  4 Ir 2.87, 4 Si 2.87
Ir: 0.2500 0.2500 0.7500 x4  4 Ir 2.87, 4 Sr 2.87

Record 13
SrSiIr2 after structural relaxation. Source: Alexandria via LeMat-Bulk, functional GGA-PBE.

Summary:
formation energy without anion corrections	0.372	eV/atom
raw total energy	-5.835	eV/atom
V	70.57	Å³/f.u.

Unit cell a=5.9836 b=9.2017 c=2.8971 alpha=90.00 beta=117.78 gamma=90.00
With the nearest neighbours (Å) after each atom.
Space group C2/m (No. 12)
Unique sites:
Sr: 0.0000 0.0000 0.0000 x2  4 Ir 2.76, 2 Sr 2.90, 4 Si 2.99-3.04
Si: 0.0000 0.5000 0.0000 x2  4 Ir 2.76, 2 Si 2.90, 4 Sr 2.99-3.04
Ir: 0.2500 0.2500 0.5000 x4  2 Sr 2.76, 2 Si 2.76, 6 Ir 2.90-3.04